(1)
Density functional theory data (SCAN) for a PBEsol-optimized structure of LiScTe2N.

Values from the calculation:
DOS(E_F)   4.5 states/eV/f.u.
Formation energy from raw total energies   -173 meV per atom
DFT total energy   -101.3 eV per cell

Structure (CIF):
```
data_LiScTe2N
_cell_length_a 5.754
_cell_length_b 5.754
_cell_length_c 3.848
_cell_angle_alpha 90.00
_cell_angle_beta 90.00
_cell_angle_gamma 90.00
_space_group_name_H-M_alt 'P 4/m m m'
_space_group_IT_number 123
_space_group_name_Hall '-P 4 2'
loop_
_atom_site_label
_atom_site_type_symbol
_atom_site_fract_x
_atom_site_fract_y
_atom_site_fract_z
_atom_site_occupancy
Li1 Li 0.000 0.000 0.000 1
Sc1 Sc 0.500 0.500 0.500 1
Te1 Te 0.000 0.500 0.500 1
N1 N 0.500 0.500 0.000 1
```

=====

(2)
Density functional theory data (SCAN) for a PBEsol-optimized structure of LiTaSe2N.

Values from the calculation:
DOS(E_F)   2.9 states/eV/f.u.
Formation energy from raw total energies   855 meV per atom
DFT total energy   -114.1 eV per cell

Structure (CIF):
```
data_LiTaSe2N
_cell_length_a 4.600
_cell_length_b 4.600
_cell_length_c 3.385
_cell_angle_alpha 90.00
_cell_angle_beta 90.00
_cell_angle_gamma 90.00
_space_group_name_H-M_alt 'P 4/m m m'
_space_group_IT_number 123
_space_group_name_Hall '-P 4 2'
loop_
_atom_site_label
_atom_site_type_symbol
_atom_site_fract_x
_atom_site_fract_y
_atom_site_fract_z
_atom_site_occupancy
Li1 Li 0.000 0.000 0.000 1
Ta1 Ta 0.500 0.500 0.500 1
Se1 Se 0.000 0.500 0.000 1
N1 N 0.000 0.000 0.500 1
```